Entry 1:
A plane-wave DFT calculation with SCAN was carried out for a crystal of ZnCd relaxed with PBEsol.

```
data_ZnCd
_chemical_formula_sum 'Zn6 Cd6'
_cell_length_a 2.9749
_cell_length_b 2.9749
_cell_length_c 27.7782
_cell_angle_alpha 90.00
_cell_angle_beta 90.00
_cell_angle_gamma 120.00
_space_group_name_H-M_alt 'R -3 m'
_space_group_IT_number 166
_space_group_name_Hall '-R 3 2"'
loop_
_atom_site_label
_atom_site_type_symbol
_atom_site_fract_x
_atom_site_fract_y
_atom_site_fract_z
_atom_site_occupancy
Zn1 Zn 0.0000 0.0000 0.1310 1
Cd1 Cd 0.0000 0.0000 0.3808 1
```

Calculated values
calculated density	8322	kg/m³
total moment	0.0	μB/cell
calculated total energy	-21.871	eV/atom

Entry 2:
A plane-wave DFT calculation with SCAN was carried out for a crystal of CuH4SeO5 relaxed with PBEsol.

```
data_CuH4SeO5
_chemical_formula_sum 'Cu4 H16 Se4 O20'
_cell_length_a 6.510
_cell_length_b 7.281
_cell_length_c 9.110
_cell_angle_alpha 90.00
_cell_angle_beta 90.00
_cell_angle_gamma 90.00
_space_group_name_H-M_alt 'P 21 21 21'
_space_group_IT_number 19
loop_
_space_group_symop_operation_xyz
'x,y,z'
'-x+1/2,-y,z+1/2'
'x+1/2,-y+1/2,-z'
'-x,y+1/2,-z+1/2'
loop_
_atom_site_label
_atom_site_type_symbol
_atom_site_fract_x
_atom_site_fract_y
_atom_site_fract_z
_atom_site_occupancy
Cu1 Cu 0.217 0.045 0.101 1
H1 H 0.009 0.453 0.147 1
H2 H 0.066 0.658 0.177 1
H3 H 0.110 0.320 0.944 1
H4 H 0.194 0.616 0.544 1
Se1 Se 0.019 0.789 0.862 1
O1 O 0.009 0.484 0.530 1
O2 O 0.018 0.891 0.689 1
O3 O 0.053 0.070 0.316 1
O4 O 0.176 0.303 0.045 1
O5 O 0.233 0.214 0.639 1
```

Calculated values
calculated density	3485	kg/m³
total moment	4.0	μB/cell
calculated total energy	-8.268	eV/atom

Entry 3:
A plane-wave DFT calculation with SCAN was carried out for a crystal of MnAu2 relaxed with PBEsol.

```
data_MnAu2
_chemical_formula_sum 'Mn4 Au8'
_cell_length_a 3.202
_cell_length_b 13.488
_cell_length_c 4.463
_cell_angle_alpha 90.00
_cell_angle_beta 90.00
_cell_angle_gamma 90.00
_space_group_name_H-M_alt 'C m c m'
_space_group_IT_number 63
_space_group_name_Hall '-C 2c 2'
loop_
_atom_site_label
_atom_site_type_symbol
_atom_site_fract_x
_atom_site_fract_y
_atom_site_fract_z
_atom_site_occupancy
Mn1 Mn 0.000 0.097 0.250 1
Au1 Au 0.000 0.238 0.750 1
Au2 Au 0.000 0.436 0.250 1
```

Calculated values
calculated density	15466	kg/m³
energy relative to the lowest polymorph listed for this composition	0.061	eV per atom
total moment	17.2	μB/cell
calculated total energy	-52.567	eV/atom

Entry 4:
A plane-wave DFT calculation with SCAN was carried out for a crystal of K2AlFe relaxed with PBEsol.

```
data_K2AlFe
_chemical_formula_sum 'K2 Al1 Fe1'
_cell_length_a 4.221
_cell_length_b 4.221
_cell_length_c 5.698
_cell_angle_alpha 90.00
_cell_angle_beta 90.00
_cell_angle_gamma 90.00
_space_group_name_H-M_alt 'P 4/m m m'
_space_group_IT_number 123
_space_group_name_Hall '-P 4 2'
loop_
_atom_site_label
_atom_site_type_symbol
_atom_site_fract_x
_atom_site_fract_y
_atom_site_fract_z
_atom_site_occupancy
K1 K 0.000 0.500 0.000 1
Al1 Al 0.000 0.000 0.500 1
Fe1 Fe 0.500 0.500 0.500 1
```

Calculated values
calculated density	2634	kg/m³
total moment	3.1	μB/cell
calculated total energy	-9.824	eV/atom

Please write out number 3 again, unchanged.
A plane-wave DFT calculation with SCAN was carried out for a crystal of MnAu2 relaxed with PBEsol.

```
data_MnAu2
_chemical_formula_sum 'Mn4 Au8'
_cell_length_a 3.202
_cell_length_b 13.488
_cell_length_c 4.463
_cell_angle_alpha 90.00
_cell_angle_beta 90.00
_cell_angle_gamma 90.00
_space_group_name_H-M_alt 'C m c m'
_space_group_IT_number 63
_space_group_name_Hall '-C 2c 2'
loop_
_atom_site_label
_atom_site_type_symbol
_atom_site_fract_x
_atom_site_fract_y
_atom_site_fract_z
_atom_site_occupancy
Mn1 Mn 0.000 0.097 0.250 1
Au1 Au 0.000 0.238 0.750 1
Au2 Au 0.000 0.436 0.250 1
```

Calculated values
calculated density	15466	kg/m³
energy relative to the lowest polymorph listed for this composition	0.061	eV per atom
total moment	17.2	μB/cell
calculated total energy	-52.567	eV/atom

Q: The highest total moment belongs to which entry?
A: MnAu2

Please write out number 3 again, unchanged.
A plane-wave DFT calculation with SCAN was carried out for a crystal of MnAu2 relaxed with PBEsol.

```
data_MnAu2
_chemical_formula_sum 'Mn4 Au8'
_cell_length_a 3.202
_cell_length_b 13.488
_cell_length_c 4.463
_cell_angle_alpha 90.00
_cell_angle_beta 90.00
_cell_angle_gamma 90.00
_space_group_name_H-M_alt 'C m c m'
_space_group_IT_number 63
_space_group_name_Hall '-C 2c 2'
loop_
_atom_site_label
_atom_site_type_symbol
_atom_site_fract_x
_atom_site_fract_y
_atom_site_fract_z
_atom_site_occupancy
Mn1 Mn 0.000 0.097 0.250 1
Au1 Au 0.000 0.238 0.750 1
Au2 Au 0.000 0.436 0.250 1
```

Calculated values
calculated density	15466	kg/m³
energy relative to the lowest polymorph listed for this composition	0.061	eV per atom
total moment	17.2	μB/cell
calculated total energy	-52.567	eV/atom

Q: What is the calculated density in the first record?
A: 8322 kg/m³